Record 1
The following is a GGA-PBE calculation of an optimized crystal structure of Dy5ErSc2, from Alexandria via LeMat-Bulk.

## Properties
* formation energy from the elements: 25 meV per atom
* E_tot: -5.00 eV per atom
* D(E_F): 14.4 states/eV per cell
* mass density: 7.43 g/cm3

Geometry as CIF:
```
data_Dy5ErSc2
_chemical_formula_sum 'Dy5 Er1 Sc2'
_symmetry_space_group_name_H-M 'P 1'
_symmetry_Int_Tables_number 1
_cell_length_a 8.2386
_cell_length_b 7.0767
_cell_length_c 6.5471
_cell_angle_alpha 74.30
_cell_angle_beta 55.79
_cell_angle_gamma 49.91
loop_
_symmetry_equiv_pos_as_xyz
'x,y,z'
loop_
_atom_site_label
_atom_site_type_symbol
_atom_site_fract_x
_atom_site_fract_y
_atom_site_fract_z
Dy1 Dy 0.0000 0.0000 0.0000
Dy2 Dy 0.4157 0.4157 0.0843
Dy3 Dy 0.4960 0.9962 0.5040
Dy4 Dy 0.9157 0.9157 0.5843
Dy5 Dy 0.9962 0.4960 0.0038
Er1 Er 0.4996 0.4996 0.5004
Sc1 Sc 0.4138 0.9131 0.0869
Sc2 Sc 0.9131 0.4138 0.5862
```


Record 2
The following is a GGA-PBE calculation of an optimized crystal structure of CaTeO3, from Alexandria via LeMat-Bulk.

## Properties
* E_tot: -5.54 eV per atom
* D(E_F): 0.1 states/eV per cell
* formation energy without anion corrections: -1.54 eV/atom
* mass density: 4.81 g/cm3

Geometry as CIF:
```
data_CaTeO3
_chemical_formula_sum 'Ca1 Te1 O3'
_symmetry_space_group_name_H-M 'P 1'
_symmetry_Int_Tables_number 1
_cell_length_a 4.2063
_cell_length_b 4.2063
_cell_length_c 4.2063
_cell_angle_alpha 90.00
_cell_angle_beta 90.00
_cell_angle_gamma 90.00
loop_
_symmetry_equiv_pos_as_xyz
'x,y,z'
loop_
_atom_site_label
_atom_site_type_symbol
_atom_site_fract_x
_atom_site_fract_y
_atom_site_fract_z
Ca1 Ca 0.0000 0.0000 0.0000
Te1 Te 0.5000 0.5000 0.5000
O1 O 0.0000 0.5000 0.5000
O2 O 0.5000 0.0000 0.5000
O3 O 0.5000 0.5000 0.0000
```


Record 3
The following is a GGA-PBE calculation of an optimized crystal structure of B5C7, from Alexandria via LeMat-Bulk.

## Properties
* formation energy from the elements: 373 meV per atom
* E_tot: -7.79 eV per atom
* D(E_F): 1.8 states/eV per cell
* mass density: 2.90 g/cm3

Geometry as CIF:
```
data_B5C7
_chemical_formula_sum 'B5 C7'
_symmetry_space_group_name_H-M 'P 1'
_symmetry_Int_Tables_number 1
_cell_length_a 3.6038
_cell_length_b 3.8764
_cell_length_c 5.8661
_cell_angle_alpha 89.86
_cell_angle_beta 74.66
_cell_angle_gamma 88.34
loop_
_symmetry_equiv_pos_as_xyz
'x,y,z'
loop_
_atom_site_label
_atom_site_type_symbol
_atom_site_fract_x
_atom_site_fract_y
_atom_site_fract_z
B1 B 0.0000 0.0000 0.0000
B2 B 0.0574 0.7536 0.4799
B3 B 0.5170 0.2979 0.4976
B4 B 0.6708 0.9951 0.7249
B5 B 0.8399 0.3308 0.8375
C1 C 0.1711 0.2912 0.1706
C2 C 0.1730 0.5503 0.6859
C3 C 0.3416 0.7575 0.8490
C4 C 0.3533 0.0331 0.3238
C5 C 0.4932 0.5312 0.0158
C6 C 0.6589 0.7659 0.1778
C7 C 0.8505 0.5298 0.3247
```


Record 4
The following is a GGA-PBE calculation of an optimized crystal structure of LaAlCr2, from Alexandria via LeMat-Bulk.

## Properties
* formation energy from the elements: 126 meV per atom
* E_tot: -6.85 eV per atom
* D(E_F): 4.7 states/eV per cell
* mass density: 5.11 g/cm3

Geometry as CIF:
```
data_LaAlCr2
_chemical_formula_sum 'La1 Al1 Cr2'
_symmetry_space_group_name_H-M 'P 1'
_symmetry_Int_Tables_number 1
_cell_length_a 5.9603
_cell_length_b 5.9603
_cell_length_c 5.9603
_cell_angle_alpha 42.56
_cell_angle_beta 42.56
_cell_angle_gamma 42.56
loop_
_symmetry_equiv_pos_as_xyz
'x,y,z'
loop_
_atom_site_label
_atom_site_type_symbol
_atom_site_fract_x
_atom_site_fract_y
_atom_site_fract_z
La1 La 0.0000 0.0000 0.0000
Al1 Al 0.1957 0.1957 0.1957
Cr1 Cr 0.4773 0.4773 0.4773
Cr2 Cr 0.8033 0.8033 0.8033
```


Record 5
The following is a GGA-PBE calculation of an optimized crystal structure of Cs3Cr2Br7, from Alexandria via LeMat-Bulk.

## Properties
* E_tot: -4.03 eV per atom
* D(E_F): 2.1 states/eV per cell
* formation energy without anion corrections: -1.24 eV/atom
* mass density: 4.24 g/cm3

Geometry as CIF:
```
data_Cs3Cr2Br7
_chemical_formula_sum 'Cs3 Cr2 Br7'
_symmetry_space_group_name_H-M 'P 1'
_symmetry_Int_Tables_number 1
_cell_length_a 14.7053
_cell_length_b 14.7053
_cell_length_c 14.7053
_cell_angle_alpha 158.80
_cell_angle_beta 158.80
_cell_angle_gamma 30.16
loop_
_symmetry_equiv_pos_as_xyz
'x,y,z'
loop_
_atom_site_label
_atom_site_type_symbol
_atom_site_fract_x
_atom_site_fract_y
_atom_site_fract_z
Cs1 Cs 0.0000 0.0000 0.0000
Cs2 Cs 0.1816 0.1816 0.0000
Cs3 Cs 0.8184 0.8184 0.0000
Cr1 Cr 0.4056 0.4056 0.0000
Cr2 Cr 0.5944 0.5944 0.0000
Br1 Br 0.0932 0.5932 0.5000
Br2 Br 0.3133 0.3133 0.0000
Br3 Br 0.4068 0.9068 0.5000
Br4 Br 0.5000 0.5000 0.0000
Br5 Br 0.5932 0.0932 0.5000
Br6 Br 0.6867 0.6867 0.0000
Br7 Br 0.9068 0.4068 0.5000
```


Record 6
The following is a GGA-PBE calculation of an optimized crystal structure of RbDyPb2Br8, from Alexandria via LeMat-Bulk.

## Properties
* E_tot: -3.55 eV per atom
* D(E_F): 0.0 states/eV per cell
* formation energy without anion corrections: -1.35 eV/atom
* mass density: 4.61 g/cm3

Geometry as CIF:
```
data_RbDyPb2Br8
_chemical_formula_sum 'Rb1 Dy1 Pb2 Br8'
_symmetry_space_group_name_H-M 'P 1'
_symmetry_Int_Tables_number 1
_cell_length_a 6.8943
_cell_length_b 7.2593
_cell_length_c 9.3670
_cell_angle_alpha 89.97
_cell_angle_beta 89.94
_cell_angle_gamma 88.93
loop_
_symmetry_equiv_pos_as_xyz
'x,y,z'
loop_
_atom_site_label
_atom_site_type_symbol
_atom_site_fract_x
_atom_site_fract_y
_atom_site_fract_z
Rb1 Rb 0.0000 0.0000 0.0000
Dy1 Dy 0.0000 0.0000 0.5000
Pb1 Pb 0.4998 0.5000 0.2511
Pb2 Pb 0.5002 0.5000 0.7489
Br1 Br 0.2387 0.3183 0.5002
Br2 Br 0.2401 0.8443 0.7116
Br3 Br 0.2408 0.8451 0.2882
Br4 Br 0.2692 0.3785 0.0002
Br5 Br 0.7308 0.6215 0.9998
Br6 Br 0.7592 0.1549 0.7118
Br7 Br 0.7599 0.1557 0.2884
Br8 Br 0.7613 0.6817 0.4998
```